(1)
# BHBr2 | Alexandria via LeMat-Bulk | GGA-PBE | optimized geometry
# Spin magnetization   0.000 μB per cell
# Energy above the lowest structure with this stoichiometry   4.95 eV per formula unit
# Mass density   4169 kg/m3
# E_tot   -2.41 eV/atom
data_BHBr2
_cell_length_a 6.110
_cell_length_b 6.110
_cell_length_c 7.324
_cell_angle_alpha 90.00
_cell_angle_beta 90.00
_cell_angle_gamma 90.00
_space_group_name_H-M_alt 'I -4 2 d'
_space_group_IT_number 122
_space_group_name_Hall 'I -4 2bw'
loop_
_atom_site_label
_atom_site_type_symbol
_atom_site_fract_x
_atom_site_fract_y
_atom_site_fract_z
B1 B 0.000 0.000 0.000
H1 H 0.000 0.000 0.500
Br1 Br 0.194 0.250 0.125

(2)
# Ta2VAs | Alexandria via LeMat-Bulk | GGA-PBE | optimized geometry
# Spin magnetization   5.664 μB per cell
# Formation energy   389 meV/atom
# Mass density   11262 kg/m3
# E_tot   -8.98 eV/atom
data_Ta2VAs
_cell_length_a 3.881
_cell_length_b 3.881
_cell_length_c 19.097
_cell_angle_alpha 90.00
_cell_angle_beta 90.00
_cell_angle_gamma 90.00
_space_group_name_H-M_alt 'I -4 2 d'
_space_group_IT_number 122
_space_group_name_Hall 'I -4 2bw'
loop_
_atom_site_label
_atom_site_type_symbol
_atom_site_fract_x
_atom_site_fract_y
_atom_site_fract_z
Ta1 Ta 0.246 0.250 0.125
V1 V 0.000 0.000 0.500
As1 As 0.000 0.000 0.000

(3)
# MnFe6Co2 | Alexandria via LeMat-Bulk | GGA-PBE | optimized geometry
# Spin magnetization   40.890 μB per cell
# Formation energy   24 meV/atom
# Mass density   8111 kg/m3
# E_tot   -8.22 eV/atom
data_MnFe6Co2
_cell_length_a 11.750
_cell_length_b 4.027
_cell_length_c 4.727
_cell_angle_alpha 90.00
_cell_angle_beta 111.60
_cell_angle_gamma 90.00
_space_group_name_H-M_alt 'C 1 2/m 1'
_space_group_IT_number 12
_space_group_name_Hall '-C 2y'
loop_
_atom_site_label
_atom_site_type_symbol
_atom_site_fract_x
_atom_site_fract_y
_atom_site_fract_z
Mn1 Mn 0.000 0.000 0.000
Fe1 Fe 0.057 0.500 0.777
Fe2 Fe 0.166 0.500 0.332
Fe3 Fe 0.222 0.000 0.107
Co1 Co 0.112 0.000 0.557